Material: Hg4BiI3
Method: DFT, PBE-GGA
State: relaxed

Unit cell a=12.7035 b=7.9547 c=7.9822 alpha=90.00 beta=90.00 gamma=90.00
Closest atoms and distances in Å follow each position.
Fractional coordinates of all 16 atoms:
Hg 0.0000 0.1114 0.0000  1 I 2.77, 1 Bi 2.81
Hg 0.0000 0.8753 0.6030  1 Bi 3.52, 3 Hg 3.60-3.68
Hg 0.1534 0.6949 0.9374  1 I 2.75, 1 Bi 2.81
Hg 0.3466 0.3051 0.4374  1 I 2.75, 1 Bi 2.81
Hg 0.5000 0.1247 0.1030  1 Bi 3.52, 3 Hg 3.60-3.68
Hg 0.5000 0.8886 0.5000  1 I 2.77, 1 Bi 2.81
Hg 0.6534 0.3051 0.4374  1 I 2.75, 1 Bi 2.81
Hg 0.8466 0.6949 0.9374  1 I 2.75, 1 Bi 2.81
Bi 0.0000 0.8018 0.1685  3 Hg 2.81
Bi 0.5000 0.1982 0.6685  3 Hg 2.81
I 0.0000 0.3603 0.7582  1 Hg 2.77
I 0.1882 0.3448 0.2064  1 Hg 2.75
I 0.3118 0.6552 0.7064  1 Hg 2.75
I 0.5000 0.6397 0.2582  1 Hg 2.77
I 0.6882 0.6552 0.7064  1 Hg 2.75
I 0.8118 0.3448 0.2064  1 Hg 2.75

Properties
Its volume is 50.4 Å³/atom. For the formation energy without anion corrections, the calculation gives -170 meV/atom.